1.
Compound: CoReAg
Source: Alexandria via LeMat-Bulk
Functional: PBEsol
Structure: optimized geometry

Computed properties:
Formation enthalpy at 0 K: 0.337 eV per atom
Space-group type: No. 156

a = 2.690 Å, b = 2.690 Å, c = 6.663 Å
α = 90.00°, β = 90.00°, γ = 120.00°
Atoms (fractional coordinates):
Re1 0.333 0.667 0.361
Co1 0.667 0.333 0.651
Ag1 0.000 0.000 0.988

***

2.
Compound: ReAgOs2
Source: Alexandria via LeMat-Bulk
Functional: PBEsol
Structure: optimized geometry

Computed properties:
Formation enthalpy at 0 K: 0.468 eV per atom
Space-group type: No. 47

a = 2.724 Å, b = 3.875 Å, c = 5.539 Å
α = 90.00°, β = 90.00°, γ = 90.00°
Atoms (fractional coordinates):
Ag1 0.500 0.500 0.500
Os1 0.000 0.000 0.765
Os2 0.000 0.000 0.235
Re1 0.500 0.500 0.000

***

3.
Compound: Pr3Sb5O12
Source: Alexandria via LeMat-Bulk
Functional: PBEsol
Structure: optimized geometry

Computed properties:
ΔE_f (raw): -2.183 eV per atom
Space-group type: No. 217

a = 9.532 Å, b = 9.532 Å, c = 9.532 Å
α = 109.47°, β = 109.47°, γ = 109.47°
Atoms (fractional coordinates):
Pr1 0.250 0.500 0.750
Pr2 0.750 0.250 0.500
Pr3 0.250 0.750 0.500
Pr4 0.500 0.250 0.750
Pr5 0.500 0.750 0.250
Pr6 0.750 0.500 0.250
Sb1 0.509 0.000 0.000
Sb2 0.000 0.000 0.509
Sb3 0.491 0.491 0.491
Sb4 0.000 0.509 0.000
Sb5 0.000 0.723 0.723
Sb6 0.000 0.277 0.277
Sb7 0.723 0.000 0.723
Sb8 0.277 0.000 0.277
Sb9 0.723 0.723 0.000
Sb10 0.277 0.277 0.000
O1 0.471 0.197 0.000
O2 0.000 0.471 0.197
O3 0.803 0.274 0.803
O4 0.197 0.000 0.471
O5 0.726 0.529 0.529
O6 0.274 0.803 0.803
O7 0.000 0.197 0.471
O8 0.529 0.726 0.529
O9 0.471 0.000 0.197
O10 0.803 0.803 0.274
O11 0.529 0.529 0.726
O12 0.197 0.471 0.000
O13 0.487 0.200 0.487
O14 0.713 0.513 0.000
O15 0.000 0.513 0.713
O16 0.800 0.287 0.287
O17 0.287 0.800 0.287
O18 0.200 0.487 0.487
O19 0.000 0.713 0.513
O20 0.513 0.713 0.000
O21 0.487 0.487 0.200
O22 0.713 0.000 0.513
O23 0.513 0.000 0.713
O24 0.287 0.287 0.800

***

4.
Compound: FeSeBr2
Source: Alexandria via LeMat-Bulk
Functional: PBEsol
Structure: optimized geometry

Computed properties:
ΔE_f (raw): -0.131 eV per atom
Space-group type: No. 160

a = 3.444 Å, b = 3.444 Å, c = 8.224 Å
α = 77.91°, β = 77.91°, γ = 60.00°
Atoms (fractional coordinates):
Br1 0.987 0.987 0.038
Br2 0.778 0.778 0.667
Fe1 0.506 0.506 0.482
Se1 0.229 0.229 0.314

***

5.
Compound: TlSnTeI2
Source: Alexandria via LeMat-Bulk
Functional: PBEsol
Structure: optimized geometry

Computed properties:
ΔE_f (raw): 0.257 eV per atom
Space-group type: No. 123

a = 5.779 Å, b = 5.808 Å, c = 5.808 Å
α = 90.00°, β = 90.00°, γ = 90.00°
Atoms (fractional coordinates):
I1 0.000 0.000 0.500
I2 0.000 0.500 0.000
Tl1 0.000 0.000 0.000
Te1 0.500 0.000 0.000
Sn1 0.500 0.500 0.500

***

6.
Compound: K2ZrBr
Source: Alexandria via LeMat-Bulk
Functional: PBEsol
Structure: optimized geometry

Computed properties:
ΔE_f (raw): 0.486 eV per atom
Space-group type: No. 119

a = 4.887 Å, b = 4.887 Å, c = 7.006 Å
α = 110.42°, β = 110.42°, γ = 90.00°
Atoms (fractional coordinates):
Br1 0.250 0.750 0.500
K1 0.000 0.000 0.000
K2 0.750 0.250 0.500
Zr1 0.500 0.500 0.000

***

7.
Compound: RbNa2SrP
Source: Alexandria via LeMat-Bulk
Functional: PBEsol
Structure: optimized geometry

Computed properties:
Formation enthalpy at 0 K: 1.084 eV per atom
Space-group type: No. 123

a = 6.293 Å, b = 6.293 Å, c = 7.228 Å
α = 90.00°, β = 90.00°, γ = 90.00°
Atoms (fractional coordinates):
Sr1 0.000 0.000 0.000
Na1 0.000 0.500 0.000
Na2 0.500 0.000 0.000
Rb1 0.000 0.000 0.500
P1 0.500 0.500 0.500

***

8.
Compound: CaHf2Cl
Source: Alexandria via LeMat-Bulk
Functional: PBEsol
Structure: optimized geometry

Computed properties:
ΔE_f (raw): 0.757 eV per atom
Space-group type: No. 225

a = 5.052 Å, b = 5.052 Å, c = 5.052 Å
α = 60.00°, β = 60.00°, γ = 60.00°
Atoms (fractional coordinates):
Ca1 0.500 0.500 0.500
Hf1 0.250 0.250 0.250
Hf2 0.750 0.750 0.750
Cl1 0.000 0.000 0.000

***

Number 1: DOS(E_F) 0.796 states/eV per atom. Number 2: DOS(E_F) 1.000 states/eV per atom. Number 3: DOS(E_F) 0.000 states/eV per atom. Number 4: DOS(E_F) 1.006 states/eV per atom. Number 5: DOS(E_F) 0.360 states/eV per atom. Number 6: DOS(E_F) 1.749 states/eV per atom. Number 7: DOS(E_F) 0.929 states/eV per atom. Number 8: DOS(E_F) 1.139 states/eV per atom.